1.
PPd | GGA-PBE | relaxed

a = 7.1556 Å, b = 7.1556 Å, c = 7.1556 Å
α = 93.92°, β = 93.92°, γ = 149.68°
Last column: nearest neighbours and their distance in Å.
Atoms (fractional coordinates):
P 0.0842 0.2912 0.3754  4 Pd 2.28-2.40
P 0.2912 0.9158 0.2070  4 Pd 2.28-2.40
P 0.7088 0.0842 0.7930  4 Pd 2.28-2.40
P 0.9158 0.7088 0.6246  4 Pd 2.28-2.40
Pd 0.1486 0.7158 0.8644  4 P 2.28-2.40
Pd 0.2842 0.1486 0.4328  4 P 2.28-2.40
Pd 0.7158 0.8514 0.5672  4 P 2.28-2.40
Pd 0.8514 0.2842 0.1356  4 P 2.28-2.40

Output
Energy of formation ... -0.090 eV/atom
Volume ... 179 Å³ per cell
Space group ... I4/m (87)



2.
P4Pd | GGA-PBE | relaxed

a = 5.0190 Å, b = 4.9329 Å, c = 7.0156 Å
α = 90.00°, β = 99.90°, γ = 90.00°
Last column: nearest neighbours and their distance in Å.
Atoms (fractional coordinates):
P 0.1126 0.1396 0.4160  3 P 2.22-2.24
P 0.1126 0.3604 0.9160  3 P 2.22-2.24
P 0.2693 0.6918 0.7494  2 P 2.22-2.23, 2 Pd 2.45-2.46
P 0.2693 0.8082 0.2494  2 P 2.22-2.23, 2 Pd 2.45-2.46
P 0.7307 0.1918 0.7506  2 P 2.22-2.23, 2 Pd 2.45-2.46
P 0.7307 0.3082 0.2506  2 P 2.22-2.23, 2 Pd 2.45-2.46
P 0.8874 0.6396 0.0840  3 P 2.22-2.24
P 0.8874 0.8604 0.5840  3 P 2.22-2.24
Pd 0.5000 0.0000 0.0000  6 P 2.45-2.63
Pd 0.5000 0.5000 0.5000  6 P 2.45-2.63

Output
Energy of formation ... -0.211 eV/atom
Volume ... 171 Å³ per cell
Space group ... P2_1/c (14)
Distance to the lowest polymorph of the same formula ... 0.00 eV per formula unit



3.
PPd | GGA-PBE | relaxed

a = 8.0396 Å, b = 7.7944 Å, c = 5.2601 Å
α = 73.14°, β = 68.10°, γ = 38.77°
Last column: nearest neighbours and their distance in Å.
Atoms (fractional coordinates):
P 0.0127 0.7373 0.0127  1 P 2.19, 2 Pd 2.31
P 0.2627 0.9873 0.2627  1 P 2.19, 2 Pd 2.31
P 0.7373 0.0127 0.7373  1 P 2.19, 2 Pd 2.31
P 0.9873 0.2627 0.9873  1 P 2.19, 2 Pd 2.31
Pd 0.0351 0.0351 0.7149  4 P 2.31-2.49
Pd 0.2851 0.2851 0.9649  4 P 2.31-2.49
Pd 0.7149 0.7149 0.0351  4 P 2.31-2.49
Pd 0.9649 0.9649 0.2851  4 P 2.31-2.49

Output
Energy of formation ... -0.141 eV/atom
Volume ... 191 Å³ per cell
Space group ... Fddd (70)



4.
P3Pd8 | GGA-PBE | relaxed

a = 5.5885 Å, b = 5.5885 Å, c = 5.5885 Å
α = 89.86°, β = 89.86°, γ = 89.86°
Last column: nearest neighbours and their distance in Å.
Atoms (fractional coordinates):
P 0.0000 0.5000 0.5000  6 Pd 2.29-2.35
P 0.5000 0.0000 0.5000  6 Pd 2.29-2.35
P 0.5000 0.5000 0.0000  6 Pd 2.29-2.35
Pd 0.1451 0.6687 0.8491  2 P 2.32-2.35
Pd 0.1509 0.8549 0.3313  2 P 2.32-2.35
Pd 0.3313 0.1509 0.8549  2 P 2.32-2.35
Pd 0.3523 0.3523 0.3523  3 P 2.29
Pd 0.6477 0.6477 0.6477  3 P 2.29
Pd 0.6687 0.8491 0.1451  2 P 2.32-2.35
Pd 0.8491 0.1451 0.6687  2 P 2.32-2.35
Pd 0.8549 0.3313 0.1509  2 P 2.32-2.35

Output
Energy of formation ... -0.325 eV/atom
Volume ... 175 Å³ per cell
Space group ... R-3 (148)



5.
PmP2Pd7 | GGA-PBE | relaxed

a = 10.4460 Å, b = 10.4460 Å, c = 10.4460 Å
α = 157.51°, β = 157.51°, γ = 32.01°
Last column: nearest neighbours and their distance in Å.
Atoms (fractional coordinates):
Pm 0.0000 0.0000 0.0000  12 Pd 2.88-3.01
P 0.3237 0.3237 0.0000  8 Pd 2.43-2.52
P 0.6763 0.6763 0.0000  8 Pd 2.43-2.52
Pd 0.1103 0.6103 0.5000  2 P 2.43
Pd 0.2500 0.7500 0.5000  4 P 2.52, 2 Pd 2.81
Pd 0.3897 0.8897 0.5000  2 P 2.43
Pd 0.5000 0.5000 0.0000  4 Pm 2.88, 8 Pd 3.01
Pd 0.6103 0.1103 0.5000  2 P 2.43
Pd 0.7500 0.2500 0.5000  4 P 2.52, 2 Pd 2.81
Pd 0.8897 0.3897 0.5000  2 P 2.43

Output
Energy of formation ... -0.611 eV/atom
Volume ... 167 Å³ per cell
Space group ... I4/mmm (139)



6.
PmPPd2 | GGA-PBE | relaxed

a = 9.4076 Å, b = 9.4076 Å, c = 4.1381 Å
α = 90.00°, β = 90.00°, γ = 155.39°
Last column: nearest neighbours and their distance in Å.
Atoms (fractional coordinates):
Pm 0.1097 0.8903 0.7500  8 Pd 3.11-3.29, 4 P 3.11
Pm 0.8903 0.1097 0.2500  8 Pd 3.11-3.29, 4 P 3.11
P 0.3265 0.6735 0.7500  5 Pd 2.34-2.52
P 0.6735 0.3265 0.2500  5 Pd 2.34-2.52
Pd 0.2481 0.7519 0.2500  4 P 2.43-2.52
Pd 0.4541 0.5459 0.7500  1 P 2.34
Pd 0.5459 0.4541 0.2500  1 P 2.34
Pd 0.7519 0.2481 0.7500  4 P 2.43-2.52

Output
Energy of formation ... -0.931 eV/atom
Volume ... 153 Å³ per cell
Space group ... Cmcm (63)



7.
Pm2P7Pd12 | GGA-PBE | relaxed

a = 9.7722 Å, b = 9.7722 Å, c = 4.0590 Å
α = 90.00°, β = 90.00°, γ = 120.00°
Last column: nearest neighbours and their distance in Å.
Atoms (fractional coordinates):
Pm 0.3333 0.6667 0.2496  6 P 3.08-3.09, 6 Pd 3.20-3.21
Pm 0.6667 0.3333 0.7504  6 P 3.08-3.09, 6 Pd 3.20-3.21
P 0.0000 0.0000 0.0000  6 Pd 2.37
P 0.1172 0.4118 0.7481  6 Pd 2.38-2.64
P 0.2946 0.8828 0.7481  6 Pd 2.38-2.64
P 0.4118 0.2946 0.2519  6 Pd 2.38-2.64
P 0.5882 0.7054 0.7481  6 Pd 2.38-2.64
P 0.7054 0.1172 0.2519  6 Pd 2.38-2.64
P 0.8828 0.5882 0.2519  6 Pd 2.38-2.64
Pd 0.0604 0.6224 0.7521  4 P 2.38-2.58
Pd 0.1036 0.8546 0.2618  3 P 2.37-2.64
Pd 0.1454 0.2490 0.2618  3 P 2.37-2.64
Pd 0.2490 0.1036 0.7382  3 P 2.37-2.64
Pd 0.3776 0.4380 0.7521  4 P 2.38-2.58
Pd 0.4380 0.0604 0.2479  4 P 2.38-2.58
Pd 0.5620 0.9396 0.7521  4 P 2.38-2.58
Pd 0.6224 0.5620 0.2479  4 P 2.38-2.58
Pd 0.7510 0.8964 0.2618  3 P 2.37-2.64
Pd 0.8546 0.7510 0.7382  3 P 2.37-2.64
Pd 0.8964 0.1454 0.7382  3 P 2.37-2.64
Pd 0.9396 0.3776 0.2479  4 P 2.38-2.58

Output
Energy of formation ... -0.707 eV/atom
Volume ... 336 Å³ per cell
Space group ... P-3 (147)



8.
PmP2Pd5 | GGA-PBE | relaxed

a = 6.1861 Å, b = 6.1861 Å, c = 6.1861 Å
α = 141.25°, β = 110.61°, γ = 82.42°
Last column: nearest neighbours and their distance in Å.
Atoms (fractional coordinates):
Pm 0.0000 0.0000 0.0000  4 P 3.10, 8 Pd 3.29
P 0.2491 0.7491 0.5000  3 Pd 2.31-2.34
P 0.7509 0.2509 0.5000  3 Pd 2.31-2.34
Pd 0.1482 0.3456 0.8026  1 P 2.31
Pd 0.4570 0.6544 0.8026  1 P 2.31
Pd 0.5000 0.0000 0.5000  2 P 2.34
Pd 0.5430 0.3456 0.1974  1 P 2.31
Pd 0.8518 0.6544 0.1974  1 P 2.31

Output
Energy of formation ... -0.744 eV/atom
Volume ... 135 Å³ per cell
Space group ... Immm (71)



9.
Pm2PPd3 | GGA-PBE | relaxed

a = 8.7625 Å, b = 8.5204 Å, c = 5.7734 Å
α = 72.77°, β = 68.24°, γ = 39.00°
Last column: nearest neighbours and their distance in Å.
Atoms (fractional coordinates):
Pm 0.2453 0.7547 0.7547  10 Pd 3.12-3.30, 2 P 3.19
Pm 0.2500 0.2500 0.2500  8 Pd 3.09-3.13, 4 P 3.16
Pm 0.7500 0.7500 0.7500  8 Pd 3.09-3.13, 4 P 3.16
Pm 0.7547 0.2453 0.2453  10 Pd 3.12-3.30, 2 P 3.19
P 0.3344 0.3344 0.6656  3 Pd 2.37-2.38
P 0.6656 0.6656 0.3344  3 Pd 2.37-2.38
Pd 0.1759 0.6490 0.3510  1 P 2.37
Pd 0.1781 0.1781 0.8219  1 P 2.38
Pd 0.3510 0.8241 0.1759  1 P 2.37
Pd 0.6490 0.1759 0.8241  1 P 2.37
Pd 0.8219 0.8219 0.1781  1 P 2.38
Pd 0.8241 0.3510 0.6490  1 P 2.37

Output
Energy of formation ... -0.947 eV/atom
Volume ... 252 Å³ per cell
Space group ... Fmmm (69)



10.
Pm3P2Pd5 | GGA-PBE | relaxed

a = 8.7862 Å, b = 8.7862 Å, c = 8.7862 Å
α = 99.09°, β = 94.34°, γ = 140.02°
Last column: nearest neighbours and their distance in Å.
Atoms (fractional coordinates):
Pm 0.1234 0.7048 0.8282  1 P 2.87, 7 Pd 3.05-3.17
Pm 0.2500 0.2500 0.0000  4 P 2.80, 2 Pd 2.97, 2 Pm 3.00
Pm 0.3766 0.2048 0.5813  1 P 2.87, 7 Pd 3.05-3.17
Pm 0.6234 0.7952 0.4187  1 P 2.87, 7 Pd 3.05-3.17
Pm 0.7500 0.7500 0.0000  4 P 2.80, 2 Pd 2.97, 2 Pm 3.00
Pm 0.8766 0.2952 0.1718  1 P 2.87, 7 Pd 3.05-3.17
P 0.1437 0.1418 0.2855  3 Pd 2.30-2.54
P 0.3563 0.6418 0.9981  3 Pd 2.30-2.54
P 0.6437 0.3582 0.0019  3 Pd 2.30-2.54
P 0.8563 0.8582 0.7145  3 Pd 2.30-2.54
Pd 0.0016 0.2500 0.7516  2 P 2.54, 2 Pd 2.76
Pd 0.1283 0.3433 0.4716  1 P 2.30
Pd 0.2500 0.7500 0.5000  8 Pd 2.79-3.01
Pd 0.3717 0.8433 0.2150  1 P 2.30
Pd 0.4984 0.2500 0.2484  2 P 2.54, 2 Pd 2.76
Pd 0.5016 0.7500 0.7516  2 P 2.54, 2 Pd 2.76
Pd 0.6283 0.1567 0.7850  1 P 2.30
Pd 0.7500 0.2500 0.5000  8 Pd 2.79-3.01
Pd 0.8717 0.6567 0.5284  1 P 2.30
Pd 0.9984 0.7500 0.2484  2 P 2.54, 2 Pd 2.76

Output
Energy of formation ... -0.800 eV/atom
Volume ... 409 Å³ per cell
Space group ... Ibam (72)



11.
PmPPd | GGA-PBE | relaxed

a = 4.5145 Å, b = 4.5145 Å, c = 4.5145 Å
α = 60.00°, β = 60.00°, γ = 60.00°
Last column: nearest neighbours and their distance in Å.
Atoms (fractional coordinates):
Pm 0.0000 0.0000 0.0000  4 Pd 2.76
P 0.5000 0.5000 0.5000  4 Pd 2.76
Pd 0.7500 0.7500 0.7500  4 Pm 2.76, 4 P 2.76

Output
Energy of formation ... -0.983 eV/atom
Volume ... 65 Å³ per cell
Space group ... F-43m (216)
Distance to the lowest polymorph of the same formula ... 0.79 eV per formula unit



12.
Pm3PPd | GGA-PBE | relaxed

a = 5.3781 Å, b = 5.3781 Å, c = 5.3781 Å
α = 90.00°, β = 90.00°, γ = 90.00°
Last column: nearest neighbours and their distance in Å.
Atoms (fractional coordinates):
Pm 0.0000 0.0000 0.5000  2 P 2.69
Pm 0.0000 0.5000 0.0000  2 P 2.69
Pm 0.5000 0.0000 0.0000  2 P 2.69
P 0.0000 0.0000 0.0000  6 Pm 2.69
Pd 0.5000 0.5000 0.5000  12 Pm 3.80

Output
Energy of formation ... -0.357 eV/atom
Volume ... 156 Å³ per cell
Space group ... Pm-3m (221)